An optimized crystal structure of RbAlS2, computed with PBE.

Output
Its space group is No. 62. The uncorrected formation energy comes out at -1.133 eV/atom.

Cell lengths 6.8933, 3.4984, 17.6523 Å; angles 90.00, 90.00, 90.00 degrees
Closest atoms and distances in Å follow each position.
Sites, in units of the cell vectors:
S  0.7785  0.7500  0.9880  3 Al 2.32-2.49
S  0.2215  0.2500  0.0120  3 Al 2.32-2.49
S  0.5808  0.2500  0.6602  2 Al 2.35
S  0.4192  0.7500  0.3398  2 Al 2.35
S  0.2785  0.7500  0.5120  3 Al 2.32-2.49
S  0.0808  0.2500  0.8398  2 Al 2.35
S  0.9192  0.7500  0.1602  2 Al 2.35
S  0.7215  0.2500  0.4880  3 Al 2.32-2.49
Al  0.5782  0.7500  0.5715  5 S 2.32-2.49
Al  0.9218  0.2500  0.0715  5 S 2.32-2.49
Al  0.4218  0.2500  0.4285  5 S 2.32-2.49
Al  0.0782  0.7500  0.9285  5 S 2.32-2.49
Rb  0.0809  0.2500  0.6527  5 S 3.30-3.45, 2 Rb 3.50
Rb  0.9191  0.7500  0.3473  5 S 3.30-3.45, 2 Rb 3.50
Rb  0.5809  0.2500  0.8473  5 S 3.30-3.45, 2 Rb 3.50
Rb  0.4191  0.7500  0.1527  5 S 3.30-3.45, 2 Rb 3.50